Entry 1:
Material: YMg2Mo
Method: DFT, GGA-PBEsol
State: optimized geometry

```
4
Lattice="0.000 3.474 3.474 3.474 0.000 3.474 3.474 3.474 0.000" Properties=species:S:1:pos:R:3 pbc="T T T"
Y 0.000 0.000 0.000
Mg 1.737 1.737 1.737
Mg 3.474 3.474 3.474
Mo 5.211 5.211 5.211
```

Properties
Excess energy over the best structure of this formula in the dataset (meV per atom): 58
Electronic total energy (eV/atom): -5.0204
ΔE_f (eV/atom): 0.49

Entry 2:
Material: AgSnF2
Method: DFT, GGA-PBEsol
State: optimized geometry

```
4
Lattice="0.000 3.113 3.113 3.113 0.000 3.113 3.113 3.113 0.000" Properties=species:S:1:pos:R:3 pbc="T T T"
Ag 0.000 0.000 0.000
Sn 3.113 3.113 3.113
F 1.557 1.557 1.557
F 4.670 4.670 4.670
```

Properties
Electronic total energy (eV/atom): -3.9070

Entry 3:
Material: FeOsN2O
Method: DFT, GGA-PBEsol
State: optimized geometry

```
5
Lattice="3.572 0.000 0.000 0.000 3.572 0.000 0.000 0.000 3.611" Properties=species:S:1:pos:R:3 pbc="T T T"
Fe 0.000 0.000 0.000
Os 1.786 1.786 1.806
N 0.000 1.786 0.000
N 1.786 0.000 0.000
O 0.000 0.000 1.806
```

Properties
Electronic total energy (eV/atom): -7.6305

Entry 4:
Material: Li15Si4
Method: DFT, GGA-PBEsol
State: optimized geometry

```
38
Lattice="-5.254 5.254 5.254 5.254 -5.254 5.254 5.254 5.254 -5.254" Properties=species:S:1:pos:R:3 pbc="T T T"
Li 4.874 -1.280 1.629
Li 6.252 3.907 -3.007
Li 6.601 2.247 -0.998
Li 5.254 -2.627 3.940
Li 6.883 0.380 1.280
Li 3.907 3.007 -0.998
Li 3.007 0.998 1.347
Li 3.940 5.254 -2.627
Li 3.007 -0.998 3.907
Li 3.907 -3.007 6.252
Li 1.629 4.874 -1.280
Li 5.254 2.627 1.313
Li 1.347 3.007 0.998
Li 0.998 1.347 3.007
Li 4.874 1.280 3.625
Li 2.247 -0.998 6.601
Li 3.625 4.874 1.280
Li -1.280 1.629 4.874
Li 2.627 1.313 5.254
Li -0.998 3.907 3.007
Li 1.280 6.883 0.380
Li 5.634 3.974 3.625
Li 1.313 5.254 2.627
Li 0.380 1.280 6.883
Li 1.280 3.625 4.874
Li -0.998 6.601 2.247
Li -2.627 3.940 5.254
Li 3.974 3.625 5.634
Li 3.625 5.634 3.974
Li -3.007 6.252 3.907
Si 4.811 0.443 -0.443
Si 7.438 -2.184 2.184
Si 0.443 0.443 0.443
Si 0.443 -0.443 4.811
Si -0.443 4.811 0.443
Si 2.184 7.438 -2.184
Si 3.070 3.070 3.070
Si -2.184 2.184 7.438
```

Properties
Electronic total energy (eV/atom): -3.0046

Entry 5:
Material: KPF6
Method: DFT, GGA-PBEsol
State: optimized geometry

```
32
Lattice="7.612 0.000 0.000 0.000 7.612 0.000 0.000 0.000 7.612" Properties=species:S:1:pos:R:3 pbc="T T T"
K 0.000 0.000 0.000
K 0.000 3.806 3.806
K 3.806 0.000 3.806
K 3.806 3.806 0.000
P 0.000 0.000 3.806
P 0.000 3.806 0.000
P 3.806 0.000 0.000
P 3.806 3.806 3.806
F 0.530 0.948 5.020
F 0.530 2.858 1.214
F 0.948 5.020 0.530
F 0.948 6.398 4.336
F 1.214 0.530 2.858
F 1.214 3.276 6.664
F 2.592 4.336 2.858
F 2.592 7.082 6.664
F 2.858 1.214 0.530
F 2.858 2.592 4.336
F 3.276 4.754 5.020
F 3.276 6.664 1.214
F 4.336 0.948 6.398
F 4.336 2.858 2.592
F 4.754 5.020 3.276
F 4.754 6.398 7.082
F 5.020 0.530 0.948
F 5.020 3.276 4.754
F 6.398 4.336 0.948
F 6.398 7.082 4.754
F 6.664 1.214 3.276
F 6.664 2.592 7.082
F 7.082 4.754 6.398
F 7.082 6.664 2.592
```

Properties
Electronic total energy (eV/atom): -5.1397

Entry 6:
Material: TeOsSe2
Method: DFT, GGA-PBEsol
State: optimized geometry

```
4
Lattice="1.463 0.845 11.802 -1.463 0.845 11.802 0.000 -1.690 11.802" Properties=species:S:1:pos:R:3 pbc="T T T"
Te 0.000 0.000 0.000
Os 0.000 0.000 17.703
Se 0.000 0.000 15.346
Se 0.000 0.000 20.059
```

Properties
Electronic total energy (eV/atom): -5.3476

Entry 7:
Material: Sm2TeO2
Method: DFT, GGA-PBEsol
State: optimized geometry

```
5
Lattice="-1.983 1.983 6.294 1.983 -1.983 6.294 1.983 1.983 -6.294" Properties=species:S:1:pos:R:3 pbc="T T T"
Sm 0.000 0.000 2.015
Sm 0.000 0.000 10.574
Te 0.000 0.000 6.294
O 1.983 0.000 3.147
O 0.000 1.983 3.147
```

Properties
Electronic total energy (eV/atom): -7.7999

Entry 8:
Material: Cu3Au2
Method: DFT, GGA-PBEsol
State: optimized geometry

```
5
Lattice="1.389 0.802 10.430 -1.389 0.802 10.430 0.000 -1.604 10.430" Properties=species:S:1:pos:R:3 pbc="T T T"
Cu 0.000 0.000 0.000
Cu 0.000 0.000 6.150
Cu 0.000 0.000 25.141
Au 0.000 0.000 12.561
Au 0.000 0.000 18.730
```

Properties
Excess energy over the best structure of this formula in the dataset (meV per atom): 72
Electronic total energy (eV/atom): -4.1238
ΔE_f (eV/atom): 0.05

Entry 9:
Material: CaNi2O4
Method: DFT, GGA-PBEsol
State: optimized geometry

```
14
Lattice="0.000 4.255 4.255 4.255 0.000 4.255 4.255 4.255 0.000" Properties=species:S:1:pos:R:3 pbc="T T T"
Ca 1.064 1.064 1.064
Ca 7.446 7.446 7.446
Ni 4.255 2.127 2.127
Ni 2.127 4.255 2.127
Ni 2.127 2.127 4.255
Ni 4.255 4.255 4.255
O 2.313 2.313 2.313
O 4.069 4.069 2.313
O 4.069 2.313 4.069
O 6.197 4.440 4.440
O 2.313 4.069 4.069
O 4.440 6.197 4.440
O 4.440 4.440 6.197
O 6.197 6.197 6.197
```

Properties
Excess energy over the best structure of this formula in the dataset (meV per atom): 104
Electronic total energy (eV/atom): -6.4193

Entry 10:
Material: CaLaAu2
Method: DFT, GGA-PBEsol
State: optimized geometry

```
4
Lattice="4.702 0.000 0.000 0.000 1.970 5.484 0.000 -1.970 5.484" Properties=species:S:1:pos:R:3 pbc="T T T"
Ca 0.000 0.000 0.000
La 2.351 0.000 3.014
Au 0.000 0.000 7.913
Au 2.351 0.000 6.085
```

Properties
Electronic total energy (eV/atom): -4.6143
ΔE_f (eV/atom): -0.78

Entry 11:
Material: BaSrAs2
Method: DFT, GGA-PBEsol
State: optimized geometry

```
4
Lattice="-2.091 2.355 5.958 2.091 -2.355 5.958 2.091 2.355 -5.958" Properties=species:S:1:pos:R:3 pbc="T T T"
Ba 0.000 0.000 0.000
Sr 2.091 0.000 3.074
As 0.000 0.000 6.726
As 0.000 2.355 2.898
```

Properties
Excess energy over the best structure of this formula in the dataset (meV per atom): 237
Electronic total energy (eV/atom): -4.2970
ΔE_f (eV/atom): -0.75

Entry 12:
Material: Sc2SbF
Method: DFT, GGA-PBEsol
State: optimized geometry

```
4
Lattice="1.599 0.923 8.883 -1.599 0.923 8.883 0.000 -1.846 8.883" Properties=species:S:1:pos:R:3 pbc="T T T"
Sc 0.000 0.000 2.825
Sc 0.000 0.000 23.823
Sb 0.000 0.000 0.000
F 0.000 0.000 13.324
```

Properties
Electronic total energy (eV/atom): -5.9101

Entry 13:
Material: Li2TiNiO4
Method: DFT, GGA-PBEsol
State: optimized geometry

```
8
Lattice="4.957 0.000 0.000 0.000 2.931 0.000 -1.643 0.000 4.803" Properties=species:S:1:pos:R:3 pbc="T T T"
Li 0.000 0.000 0.000
Li 2.479 1.466 0.000
Ti -0.822 1.466 2.402
Ni 1.657 0.000 2.402
O -0.073 0.000 3.521
O 0.784 1.466 1.291
O 2.531 1.466 3.512
O 3.388 0.000 1.282
```

Properties
Excess energy over the best structure of this formula in the dataset (meV per atom): 0
Electronic total energy (eV/atom): -7.0490